A relaxed structure of PrHo6Cd2, computed with PBE.

Cell and atoms, written as POSCAR:
```
PrHo6Cd2
1.0
6.318 -1.866 0.000
6.318 1.866 0.000
-3.695 0.000 11.300
Pr Ho Cd
1 6 2
Direct
0.000 0.000 0.000
0.014 0.014 0.343
0.313 0.313 0.418
0.315 0.315 0.125
0.685 0.685 0.875
0.687 0.687 0.582
0.986 0.986 0.657
0.349 0.349 0.781
0.651 0.651 0.219
```

As for the space group: No. 12. As for the magnetization: 0.00 μB/f.u. Its formation energy is -12.0 kJ per mole of atoms.

A relaxed structure of CuTeBr, computed with PBE.

Cell and atoms, written as POSCAR:
```
CuTeBr
1.0
4.490 0.000 0.000
0.006 4.572 0.000
1.403 0.074 8.380
Cu Te Br
2 2 2
Direct
0.000 0.000 0.000
0.240 0.501 0.886
0.541 0.999 0.819
0.699 0.496 0.067
0.271 0.391 0.601
0.970 0.880 0.284
```

As for the space group: No. 1. The energy relative to the elements, uncorrected comes out at -142 meV/atom. As for the magnetization: 0.00 μB/f.u.

A relaxed structure of BiAs2OsW, computed with PBE.

Cell and atoms, written as POSCAR:
```
BiAs2OsW
1.0
4.753 0.000 0.000
0.000 4.753 0.000
0.000 0.000 5.565
Bi As Os W
1 2 1 1
Direct
0.000 0.000 0.000
0.000 0.500 0.500
0.500 0.000 0.500
0.500 0.500 0.000
0.000 0.000 0.500
```

As for the space group: No. 123. As for the magnetization: 2.20 μB/f.u. Its formation energy is 145.3 kJ per mole of atoms.

A relaxed structure of DyRhCl, computed with PBE.

Cell and atoms, written as POSCAR:
```
DyRhCl
1.0
11.902 0.000 0.000
0.000 3.652 0.000
-3.663 0.000 6.653
Dy Rh Cl
4 4 4
Direct
0.042 0.000 0.323
0.458 0.500 0.677
0.542 0.500 0.323
0.958 0.000 0.677
0.131 0.500 0.633
0.369 0.000 0.367
0.631 0.000 0.633
0.869 0.500 0.367
0.155 0.000 0.088
0.345 0.500 0.912
0.655 0.500 0.088
0.845 0.000 0.912
```

As for the space group: No. 12. The energy relative to the elements, uncorrected comes out at -1020 meV/atom. As for the magnetization: 0.00 μB/f.u.

A relaxed structure of Rb2YPI6, computed with PBE.

Cell and atoms, written as POSCAR:
```
Rb2YPI6
1.0
-4.566 4.566 5.769
4.566 -4.566 5.769
4.566 4.566 -5.769
Rb Y P I
2 1 1 6
Direct
0.250 0.750 0.500
0.750 0.250 0.500
0.000 0.000 0.000
0.500 0.500 0.000
0.233 0.233 0.466
0.233 0.767 0.000
0.266 0.266 0.000
0.734 0.734 0.000
0.767 0.233 0.000
0.767 0.767 0.534
```

As for the space group: No. 139. The energy relative to the elements, uncorrected comes out at -893 meV/atom. As for the magnetization: 2.00 μB/f.u.

A relaxed structure of Ce3NdTm2Se6, computed with PBE.

Cell and atoms, written as POSCAR:
```
Ce3NdTm2Se6
1.0
3.572 -6.191 0.000
3.572 6.191 0.000
-2.386 0.000 6.844
Ce Nd Tm Se
3 1 2 6
Direct
0.000 0.000 0.000
0.339 0.661 0.000
0.661 0.339 0.000
0.500 0.500 0.500
0.167 0.833 0.500
0.833 0.167 0.500
0.075 0.420 0.259
0.233 0.233 0.735
0.420 0.075 0.259
0.580 0.925 0.741
0.767 0.767 0.265
0.925 0.580 0.741
```

As for the space group: No. 12. The energy relative to the elements, uncorrected comes out at -1780 meV/atom. As for the magnetization: 3.03 μB/f.u.

A relaxed structure of MgAsSN2, computed with PBE.

Cell and atoms, written as POSCAR:
```
MgAsSN2
1.0
4.049 0.000 0.000
0.000 4.049 0.000
0.000 0.000 5.071
Mg As S N
1 1 1 2
Direct
0.000 0.000 0.000
0.500 0.500 0.500
0.000 0.000 0.500
0.000 0.500 0.000
0.500 0.000 0.000
```

The distance to the lowest polymorph of the same formula is 3.497 eV per formula unit. As for the space group: No. 123. The energy relative to the elements, uncorrected comes out at 1365 meV/atom. As for the magnetization: 3.02 μB/f.u.

A relaxed structure of CoMoI3, computed with PBE.

Cell and atoms, written as POSCAR:
```
CoMoI3
1.0
5.268 0.000 0.000
0.000 5.268 0.000
0.000 0.000 5.268
Co Mo I
1 1 3
Direct
0.000 0.000 0.000
0.500 0.500 0.500
0.000 0.000 0.500
0.000 0.500 0.000
0.500 0.000 0.000
```

As for the space group: No. 221. The energy relative to the elements, uncorrected comes out at 970 meV/atom. As for the magnetization: 5.10 μB/f.u.

A relaxed structure of Na2Tl2O, computed with PBE.

Cell and atoms, written as POSCAR:
```
Na2Tl2O
1.0
4.105 0.000 0.000
0.000 4.105 0.000
0.000 0.000 17.377
Na Tl O
4 4 2
Direct
0.000 0.000 0.075
0.000 0.000 0.925
0.500 0.500 0.425
0.500 0.500 0.575
0.000 0.500 0.250
0.000 0.500 0.750
0.500 0.000 0.250
0.500 0.000 0.750
0.000 0.000 0.500
0.500 0.500 0.000
```

The distance to the lowest polymorph of the same formula is 2.232 eV per formula unit. As for the space group: No. 139. The energy relative to the elements, uncorrected comes out at 34 meV/atom. As for the magnetization: 0.57 μB/f.u.

A relaxed structure of PrHoTh14, computed with PBE.

Cell and atoms, written as POSCAR:
```
PrHoTh14
1.0
11.615 0.000 0.000
0.000 3.589 6.228
0.000 -3.589 6.228
Pr Ho Th
1 1 14
Direct
0.000 0.000 0.000
0.000 0.499 0.499
0.000 0.495 0.998
0.000 0.998 0.495
0.250 0.665 0.665
0.251 0.166 0.664
0.251 0.664 0.166
0.252 0.166 0.166
0.500 0.332 0.332
0.500 0.332 0.831
0.500 0.831 0.332
0.500 0.831 0.831
0.748 0.166 0.166
0.749 0.166 0.664
0.749 0.664 0.166
0.750 0.665 0.665
```

As for the space group: No. 38. As for the magnetization: 0.00 μB/f.u. Its formation energy is 3.8 kJ per mole of atoms.

A relaxed structure of Dy2YHoSe4, computed with PBE.

Cell and atoms, written as POSCAR:
```
Dy2YHoSe4
1.0
7.066 0.000 0.000
0.000 4.028 0.000
-2.301 0.000 6.712
Dy Y Ho Se
2 1 1 4
Direct
0.000 0.000 0.000
0.000 0.500 0.500
0.500 0.000 0.500
0.500 0.500 0.000
0.250 0.500 0.249
0.251 0.000 0.752
0.749 0.000 0.248
0.750 0.500 0.751
```

As for the space group: No. 10. The energy relative to the elements, uncorrected comes out at -1743 meV/atom. As for the magnetization: 0.00 μB/f.u.

A relaxed structure of Ba5HAu, computed with PBE.

Cell and atoms, written as POSCAR:
```
Ba5HAu
1.0
12.379 0.000 0.000
0.000 10.560 0.000
0.000 0.000 11.252
Ba H Au
20 4 4
Direct
0.059 0.250 0.022
0.121 0.554 0.694
0.121 0.946 0.694
0.134 0.750 0.328
0.191 0.250 0.449
0.309 0.750 0.949
0.366 0.250 0.828
0.379 0.054 0.194
0.379 0.446 0.194
0.441 0.750 0.522
0.559 0.250 0.478
0.621 0.554 0.806
0.621 0.946 0.806
0.634 0.750 0.172
0.691 0.250 0.051
0.809 0.750 0.551
0.866 0.250 0.672
0.879 0.054 0.306
0.879 0.446 0.306
0.941 0.750 0.978
0.117 0.750 0.841
0.383 0.250 0.341
0.617 0.750 0.659
0.883 0.250 0.159
0.120 0.250 0.734
0.380 0.750 0.234
0.620 0.250 0.766
0.880 0.750 0.266
```

As for the space group: No. 62. As for the magnetization: 0.00 μB/f.u. The raw total energy is -72.58 eV for the cell shown.